# Tb4Y8Zr

Tb4Y8Zr after structural relaxation (GGA-PBE, Alexandria).

## Properties
* theoretical density: 5.712 Mg/m³
* Fermi-level density of states: 1.4982 states/eV per atom
* final energy: -5.85 eV per atom
* ΔH_f (0 K): 0.206 eV per atom

Cell and atoms, written as POSCAR:
```
Tb4Y8Zr
1.0
6.5201 0.0500 -3.3002
-4.1621 6.0295 0.0008
0.9409 0.6505 9.8794
Tb Y Zr
4 8 1
Direct
0.0000 0.0000 0.0000 Tb
0.0000 0.5000 0.0000 Tb
0.5000 0.5000 0.0000 Tb
0.5000 0.0000 0.0000 Tb
0.5641 0.7820 0.3481 Y
0.4359 0.2180 0.6519 Y
0.5106 0.2553 0.3094 Y
0.9456 0.2002 0.6898 Y
0.4894 0.7447 0.6906 Y
0.9457 0.7455 0.6898 Y
0.0543 0.2545 0.3102 Y
0.0544 0.7998 0.3102 Y
0.0000 0.5000 0.5000 Zr
```